Entry 1:
A plane-wave DFT calculation with PBE was carried out for a relaxed BaCdCo2 crystal.

The structure in CIF format:
```
data_BaCdCo2
_space_group_name_H-M_alt 'F -4 3 m'
_space_group_IT_number 216
_space_group_name_Hall 'F -4 2 3'
_cell_length_a 7.081
_cell_length_b 7.081
_cell_length_c 7.081
_cell_angle_alpha 90.00
_cell_angle_beta 90.00
_cell_angle_gamma 90.00
loop_
_atom_site_label
_atom_site_type_symbol
_atom_site_fract_x
_atom_site_fract_y
_atom_site_fract_z
Ba1 Ba 0.000 0.000 0.000
Cd1 Cd 0.250 0.250 0.250
Co1 Co 0.000 0.000 0.500
Co2 Co 0.250 0.250 0.750
```



Entry 2:
A plane-wave DFT calculation with PBE was carried out for a relaxed BaCd2Co crystal.

The structure in CIF format:
```
data_BaCd2Co
_space_group_name_H-M_alt 'F -4 3 m'
_space_group_IT_number 216
_space_group_name_Hall 'F -4 2 3'
_cell_length_a 7.303
_cell_length_b 7.303
_cell_length_c 7.303
_cell_angle_alpha 90.00
_cell_angle_beta 90.00
_cell_angle_gamma 90.00
loop_
_atom_site_label
_atom_site_type_symbol
_atom_site_fract_x
_atom_site_fract_y
_atom_site_fract_z
Ba1 Ba 0.000 0.000 0.000
Cd1 Cd 0.000 0.000 0.500
Cd2 Cd 0.250 0.250 0.750
Co1 Co 0.250 0.250 0.250
```



Entry 3:
A plane-wave DFT calculation with PBE was carried out for a relaxed BaCdCo crystal.

The structure in CIF format:
```
data_BaCdCo
_space_group_name_H-M_alt 'F -4 3 m'
_space_group_IT_number 216
_space_group_name_Hall 'F -4 2 3'
_cell_length_a 7.019
_cell_length_b 7.019
_cell_length_c 7.019
_cell_angle_alpha 90.00
_cell_angle_beta 90.00
_cell_angle_gamma 90.00
loop_
_atom_site_label
_atom_site_type_symbol
_atom_site_fract_x
_atom_site_fract_y
_atom_site_fract_z
Ba1 Ba 0.000 0.000 0.000
Cd1 Cd 0.000 0.000 0.500
Co1 Co 0.250 0.250 0.250
```



Number 1: energy -3.43 eV per atom, mass density 6.9 g cm⁻³. Number 2: energy -2.35 eV per atom, mass density 7.2 g cm⁻³. Number 3: energy -2.89 eV per atom, mass density 5.9 g cm⁻³.